1.
Entry from the Alexandria database: an optimized crystal structure of Cd2FePtN (GGA-PBEsol).

Lattice parameters (Å, degrees): 4.6550 4.6550 3.4272 90.00 90.00 90.00
Space group P4/mmm (No. 123)
One atom of each set of equivalent atoms:
Cd 0.0000 0.5000 0.0000 (multiplicity 2)
Fe 0.0000 0.0000 0.5000 (multiplicity 1)
Pt 0.5000 0.5000 0.5000 (multiplicity 1)
N 0.0000 0.0000 0.0000 (multiplicity 1)

## Properties
Uncorrected energy (eV per atom): -5.190
DOS(E_F) (states/eV per atom): 0.574
Crystal system: tetragonal

=====

2.
Entry from the Alexandria database: an optimized crystal structure of Re2NiBr (GGA-PBEsol).

Lattice parameters (Å, degrees): 6.0312 6.0312 6.0312 90.00 90.00 90.00
Space group Fm-3m (No. 225)
One atom of each set of equivalent atoms:
Re 0.2500 0.2500 0.2500 (multiplicity 8)
Ni 0.0000 0.0000 0.0000 (multiplicity 4)
Br 0.0000 0.0000 0.5000 (multiplicity 4)

## Properties
DOS(E_F) (states/eV per atom): 0.938
ΔE to the lowest computed polymorph (eV per formula unit): 2.10
Crystal system: cubic

=====

3.
Entry from the Alexandria database: an optimized crystal structure of ReB2F (GGA-PBEsol).

Lattice parameters (Å, degrees): 5.1339 5.1339 6.2452 90.00 90.00 90.00
Space group I-42d (No. 122)
One atom of each set of equivalent atoms:
Re 0.0000 0.0000 0.0000 (multiplicity 4)
B 0.2123 0.2500 0.6250 (multiplicity 8)
F 0.0000 0.0000 0.5000 (multiplicity 4)

## Properties
Uncorrected energy (eV per atom): -6.702
DOS(E_F) (states/eV per atom): 0.322
Crystal system: tetragonal

=====

4.
Entry from the Alexandria database: an optimized crystal structure of Mg2Zn (GGA-PBEsol).

Lattice parameters (Å, degrees): 5.2789 5.2789 4.7304 90.00 90.00 120.00
Space group P-62m (No. 189)
One atom of each set of equivalent atoms:
Mg 0.0000 0.0000 0.0000 (multiplicity 1)
Mg 0.0000 0.3510 0.5000 (multiplicity 3)
Zn 0.3333 0.6667 0.0000 (multiplicity 2)

## Properties
DOS(E_F) (states/eV per atom): 0.292
ΔE_f (eV per atom): 0.00
Crystal system: hexagonal

=====

5.
Entry from the Alexandria database: an optimized crystal structure of AsWBr2 (GGA-PBEsol).

Lattice parameters (Å, degrees): 3.0165 3.0165 8.8588 90.00 90.00 90.00
Space group P4/mmm (No. 123)
One atom of each set of equivalent atoms:
As 0.0000 0.0000 0.0000 (multiplicity 1)
W 0.0000 0.0000 0.5000 (multiplicity 1)
Br 0.5000 0.5000 0.3159 (multiplicity 2)

## Properties
DOS(E_F) (states/eV per atom): 0.766
ΔE to the lowest computed polymorph (eV per formula unit): 1.45
Crystal system: tetragonal

=====

6.
Entry from the Alexandria database: an optimized crystal structure of Zr2BeAs (GGA-PBEsol).

Lattice parameters (Å, degrees): 3.6556 3.6556 18.8000 90.00 90.00 120.00
Space group R-3m (No. 166, hexagonal axes)
One atom of each set of equivalent atoms:
Zr 0.0000 0.0000 0.2476 (multiplicity 6)
Be 0.0000 0.0000 0.5000 (multiplicity 3)
As 0.0000 0.0000 0.0000 (multiplicity 3)

## Properties
DOS(E_F) (states/eV per atom): 0.544
ΔE_f (eV per atom): -0.55
ΔE to the lowest computed polymorph (eV per formula unit): 1.08
Crystal system: trigonal

=====

7.
Entry from the Alexandria database: an optimized crystal structure of RbNaAl2Sn (GGA-PBEsol).

Lattice parameters (Å, degrees): 5.4357 5.4357 5.5076 90.00 90.00 90.00
Space group P4/mmm (No. 123)
One atom of each set of equivalent atoms:
Rb 0.0000 0.0000 0.0000 (multiplicity 1)
Na 0.5000 0.5000 0.5000 (multiplicity 1)
Al 0.0000 0.5000 0.5000 (multiplicity 2)
Sn 0.5000 0.5000 0.0000 (multiplicity 1)

## Properties
DOS(E_F) (states/eV per atom): 0.767
ΔE_f (eV per atom): 0.69
Crystal system: tetragonal

=====

8.
Entry from the Alexandria database: an optimized crystal structure of Li2ScTa (GGA-PBEsol).

Lattice parameters (Å, degrees): 2.6817 5.0518 5.4828 90.00 90.00 90.00
Space group Pmmm (No. 47)
One atom of each set of equivalent atoms:
Li 0.0000 0.0000 0.2287 (multiplicity 2)
Sc 0.5000 0.5000 0.5000 (multiplicity 1)
Ta 0.5000 0.5000 0.0000 (multiplicity 1)

## Properties
DOS(E_F) (states/eV per atom): 1.098
ΔE_f (eV per atom): 0.52
ΔE to the lowest computed polymorph (eV per formula unit): 0.43
Crystal system: orthorhombic

=====

9.
Entry from the Alexandria database: an optimized crystal structure of CrInCl2 (GGA-PBEsol).

Lattice parameters (Å, degrees): 6.9906 6.9906 6.9906 90.00 90.00 90.00
Space group F-43m (No. 216)
One atom of each set of equivalent atoms:
Cr 0.0000 0.0000 0.0000 (multiplicity 4)
In 0.2500 0.2500 0.7500 (multiplicity 4)
Cl 0.0000 0.0000 0.5000 (multiplicity 4)
Cl 0.2500 0.2500 0.2500 (multiplicity 4)

## Properties
DOS(E_F) (states/eV per atom): 0.049
ΔE to the lowest computed polymorph (eV per formula unit): 2.10
Crystal system: cubic

=====

10.
Entry from the Alexandria database: an optimized crystal structure of EuHgAu2 (GGA-PBEsol).

Lattice parameters (Å, degrees): 7.0061 7.0061 7.0061 90.00 90.00 90.00
Space group Fm-3m (No. 225)
One atom of each set of equivalent atoms:
Eu 0.0000 0.0000 0.0000 (multiplicity 4)
Hg 0.0000 0.0000 0.5000 (multiplicity 4)
Au 0.2500 0.2500 0.2500 (multiplicity 8)

## Properties
DOS(E_F) (states/eV per atom): 2.821
ΔE_f (eV per atom): -0.54
Crystal system: cubic

=====

11.
Entry from the Alexandria database: an optimized crystal structure of CsZr3Rh (GGA-PBEsol).

Lattice parameters (Å, degrees): 5.0822 5.0822 5.0822 90.00 90.00 90.00
Space group Pm-3m (No. 221)
One atom of each set of equivalent atoms:
Cs 0.0000 0.0000 0.0000 (multiplicity 1)
Zr 0.0000 0.0000 0.5000 (multiplicity 3)
Rh 0.5000 0.5000 0.5000 (multiplicity 1)

## Properties
DOS(E_F) (states/eV per atom): 1.738
ΔE_f (eV per atom): 2.19
Crystal system: cubic

=====

12.
Entry from the Alexandria database: an optimized crystal structure of BaMo5 (GGA-PBEsol).

Lattice parameters (Å, degrees): 3.1523 3.1523 11.2278 90.00 90.00 90.00
Space group P4/mmm (No. 123)
One atom of each set of equivalent atoms:
Ba 0.0000 0.0000 0.0000 (multiplicity 1)
Mo 0.0000 0.0000 0.3594 (multiplicity 2)
Mo 0.5000 0.5000 0.2339 (multiplicity 2)
Mo 0.5000 0.5000 0.5000 (multiplicity 1)

## Properties
DOS(E_F) (states/eV per atom): 1.139
ΔE_f (eV per atom): 0.52
Crystal system: tetragonal

=====

13.
Entry from the Alexandria database: an optimized crystal structure of LiLa2Re (GGA-PBEsol).

Lattice parameters (Å, degrees): 7.9140 3.3436 8.5779 90.00 96.08 90.00
Space group C2/m (No. 12)
One atom of each set of equivalent atoms:
Li 0.0000 0.0000 0.0000 (multiplicity 2)
La 0.2374 0.0000 0.6928 (multiplicity 4)
Re 0.0000 0.5000 0.5000 (multiplicity 2)

## Properties
DOS(E_F) (states/eV per atom): 0.911
ΔE_f (eV per atom): 0.40
Crystal system: monoclinic

=====

14.
Entry from the Alexandria database: an optimized crystal structure of Os3Pt (GGA-PBEsol).

Lattice parameters (Å, degrees): 5.4144 7.6929 2.7165 90.00 90.00 90.00
Space group Cmmm (No. 65)
One atom of each set of equivalent atoms:
Os 0.0000 0.0000 0.0000 (multiplicity 2)
Os 0.2500 0.2500 0.5000 (multiplicity 4)
Pt 0.0000 0.5000 0.0000 (multiplicity 2)

## Properties
DOS(E_F) (states/eV per atom): 0.826
ΔE_f (eV per atom): 0.18
Crystal system: orthorhombic

=====

15.
Entry from the Alexandria database: an optimized crystal structure of Sb3Mo (GGA-PBEsol).

Lattice parameters (Å, degrees): 5.7553 13.7736 4.9547 90.00 90.00 90.00
Space group Cmcm (No. 63)
One atom of each set of equivalent atoms:
Sb 0.0000 0.0612 0.2500 (multiplicity 4)
Sb 0.2461 0.1857 0.7500 (multiplicity 8)
Mo 0.0000 0.4826 0.2500 (multiplicity 4)

## Properties
DOS(E_F) (states/eV per atom): 0.770
ΔE to the lowest computed polymorph (eV per formula unit): 0.00
Crystal system: orthorhombic

=====

16.
Entry from the Alexandria database: an optimized crystal structure of Ni3MoI (GGA-PBEsol).

Lattice parameters (Å, degrees): 4.5107 4.5107 4.5107 90.00 90.00 90.00
Space group Pm-3m (No. 221)
One atom of each set of equivalent atoms:
Ni 0.0000 0.0000 0.5000 (multiplicity 3)
Mo 0.0000 0.0000 0.0000 (multiplicity 1)
I 0.5000 0.5000 0.5000 (multiplicity 1)

## Properties
Uncorrected energy (eV per atom): -4.975
DOS(E_F) (states/eV per atom): 1.383
Crystal system: cubic

=====

17.
Entry from the Alexandria database: an optimized crystal structure of TaNiPt3 (GGA-PBEsol).

Lattice parameters (Å, degrees): 4.7683 4.7683 4.7683 90.00 90.00 90.00
Space group Pm-3m (No. 221)
One atom of each set of equivalent atoms:
Ta 0.0000 0.0000 0.0000 (multiplicity 1)
Ni 0.5000 0.5000 0.5000 (multiplicity 1)
Pt 0.0000 0.0000 0.5000 (multiplicity 3)

## Properties
DOS(E_F) (states/eV per atom): 1.595
ΔE_f (eV per atom): 1.45
Crystal system: cubic

=====

18.
Entry from the Alexandria database: an optimized crystal structure of TaTiI2O (GGA-PBEsol).

Lattice parameters (Å, degrees): 5.6084 5.6084 3.8208 90.00 90.00 90.00
Space group P4/mmm (No. 123)
One atom of each set of equivalent atoms:
Ta 0.0000 0.0000 0.0000 (multiplicity 1)
Ti 0.5000 0.5000 0.5000 (multiplicity 1)
I 0.0000 0.5000 0.0000 (multiplicity 2)
O 0.0000 0.0000 0.5000 (multiplicity 1)

## Properties
Uncorrected energy (eV per atom): -6.134
DOS(E_F) (states/eV per atom): 1.448
Crystal system: tetragonal

=====

19.
Entry from the Alexandria database: an optimized crystal structure of KMnGa3 (GGA-PBEsol).

Lattice parameters (Å, degrees): 4.6663 4.6663 4.6663 90.00 90.00 90.00
Space group Pm-3m (No. 221)
One atom of each set of equivalent atoms:
K 0.0000 0.0000 0.0000 (multiplicity 1)
Mn 0.5000 0.5000 0.5000 (multiplicity 1)
Ga 0.0000 0.5000 0.5000 (multiplicity 3)

## Properties
DOS(E_F) (states/eV per atom): 0.323
ΔE_f (eV per atom): -0.07
Crystal system: cubic

=====

20.
Entry from the Alexandria database: an optimized crystal structure of ReSO2 (GGA-PBEsol).

Lattice parameters (Å, degrees): 2.7885 2.7885 20.1263 90.00 90.00 120.00
Space group R-3m (No. 166, hexagonal axes)
One atom of each set of equivalent atoms:
Re 0.0000 0.0000 0.0000 (multiplicity 3)
S 0.0000 0.0000 0.5000 (multiplicity 3)
O 0.0000 0.0000 0.4003 (multiplicity 6)

## Properties
Uncorrected energy (eV per atom): -7.452
DOS(E_F) (states/eV per atom): 0.404
Crystal system: trigonal

=====

21.
Entry from the Alexandria database: an optimized crystal structure of CrRu2Cl (GGA-PBEsol).

Lattice parameters (Å, degrees): 2.7774 3.8801 5.0095 90.00 104.46 90.00
Space group P2/m (No. 10)
One atom of each set of equivalent atoms:
Cr 0.0000 0.0000 0.0000 (multiplicity 1)
Ru 0.3606 0.5000 0.7428 (multiplicity 2)
Cl 0.0000 0.0000 0.5000 (multiplicity 1)

## Properties
DOS(E_F) (states/eV per atom): 0.930
ΔE to the lowest computed polymorph (eV per formula unit): 0.74
Crystal system: monoclinic

=====

22.
Entry from the Alexandria database: an optimized crystal structure of Te2PbNF (GGA-PBEsol).

Lattice parameters (Å, degrees): 5.8923 5.8923 4.2251 90.00 90.00 90.00
Space group P4/mmm (No. 123)
One atom of each set of equivalent atoms:
Te 0.0000 0.5000 0.0000 (multiplicity 2)
Pb 0.0000 0.0000 0.0000 (multiplicity 1)
N 0.0000 0.0000 0.5000 (multiplicity 1)
F 0.5000 0.5000 0.5000 (multiplicity 1)

## Properties
DOS(E_F) (states/eV per atom): 1.154
ΔE to the lowest computed polymorph (eV per formula unit): 2.27
Crystal system: tetragonal

=====

23.
Entry from the Alexandria database: an optimized crystal structure of GaNiIN2 (GGA-PBEsol).

Lattice parameters (Å, degrees): 3.8638 3.8638 5.4182 90.00 90.00 90.00
Space group P4/mmm (No. 123)
One atom of each set of equivalent atoms:
Ga 0.0000 0.0000 0.0000 (multiplicity 1)
Ni 0.5000 0.5000 0.5000 (multiplicity 1)
I 0.5000 0.5000 0.0000 (multiplicity 1)
N 0.0000 0.5000 0.5000 (multiplicity 2)

## Properties
DOS(E_F) (states/eV per atom): 0.568
ΔE to the lowest computed polymorph (eV per formula unit): 0.00
Crystal system: tetragonal

=====

24.
Entry from the Alexandria database: an optimized crystal structure of Rb2MoSeO6 (GGA-PBEsol).

Lattice parameters (Å, degrees): 7.7011 6.1858 14.4294 90.00 90.00 90.00
Space group Pnma (No. 62)
One atom of each set of equivalent atoms:
Rb 0.1257 0.2500 0.0334 (multiplicity 4)
Rb 0.1572 0.2500 0.2993 (multiplicity 4)
Mo 0.0993 0.2500 0.7699 (multiplicity 4)
Se 0.0798 0.2500 0.5635 (multiplicity 4)
O 0.0487 0.0252 0.8368 (multiplicity 8)
O 0.1123 0.0452 0.6450 (multiplicity 8)
O 0.1682 0.7500 0.2761 (multiplicity 4)
O 0.2441 0.7500 0.9959 (multiplicity 4)

## Properties
Uncorrected energy (eV per atom): -6.640
DOS(E_F) (states/eV per atom): 0.000
Crystal system: orthorhombic

=====

25.
Entry from the Alexandria database: an optimized crystal structure of Li3Zn (GGA-PBEsol).

Lattice parameters (Å, degrees): 2.8422 2.8422 9.5429 90.00 90.00 120.00
Space group P-6m2 (No. 187)
One atom of each set of equivalent atoms:
Li 0.0000 0.0000 0.0000 (multiplicity 1)
Li 0.6667 0.3333 0.2674 (multiplicity 2)
Zn 0.0000 0.0000 0.5000 (multiplicity 1)

## Properties
DOS(E_F) (states/eV per atom): 0.400
ΔE_f (eV per atom): -0.02
Crystal system: hexagonal

=====

26.
Entry from the Alexandria database: an optimized crystal structure of CdCu4Au (GGA-PBEsol).

Lattice parameters (Å, degrees): 6.8785 6.8785 6.8785 90.00 90.00 90.00
Space group F-43m (No. 216)
One atom of each set of equivalent atoms:
Cd 0.0000 0.0000 0.0000 (multiplicity 4)
Cu 0.1249 0.1249 0.6249 (multiplicity 16)
Au 0.2500 0.2500 0.2500 (multiplicity 4)

## Properties
DOS(E_F) (states/eV per atom): 0.341
ΔE_f (eV per atom): -0.01
Crystal system: cubic

=====

27.
Entry from the Alexandria database: an optimized crystal structure of Tl2CdP (GGA-PBEsol).

Lattice parameters (Å, degrees): 4.0396 4.0396 21.2675 90.00 90.00 120.00
Space group R-3m (No. 166, hexagonal axes)
One atom of each set of equivalent atoms:
Tl 0.0000 0.0000 0.2378 (multiplicity 6)
Cd 0.0000 0.0000 0.0000 (multiplicity 3)
P 0.0000 0.0000 0.5000 (multiplicity 3)

## Properties
DOS(E_F) (states/eV per atom): 0.409
ΔE_f (eV per atom): 0.18
ΔE to the lowest computed polymorph (eV per formula unit): 0.00
Crystal system: trigonal